Below is a relaxed Sm3SiAgS7 crystal, with properties calculated at the PBEsol level.

The structure belongs to space group P6_3 (No. 173); the cell edges are 10.0481, 10.0481 and 5.6524 Å and the angles 90.00°, 90.00° and 120.00°. The distinct sites, in fractional coordinates, are Sm at (0.1251, 0.3596, 0.0000), Si at (0.3333, 0.6667, 0.4133), Ag at (0.0000, 0.0000, 0.0497), S at (0.0943, 0.2713, 0.5147), S at (0.1100, 0.5878, 0.2641) and S at (0.3333, 0.6667, 0.7859).

Its uncorrected energy is -6.14 eV/atom. The calculated volume comes out at 20.59 Å³/atom. The density of states at the Fermi level is 0.000 states/eV per atom. The magnetization is 0.00 μB/f.u.

***

Below is a relaxed SiMo2Au crystal, with properties calculated at the PBEsol level.

The structure belongs to space group P4mm (No. 99); the cell edges are 2.7079, 2.7079 and 8.3347 Å and the angles 90.00°, 90.00° and 90.00°. The distinct sites, in fractional coordinates, are Si at (0.0000, 0.0000, 0.0000), Mo at (0.0000, 0.0000, 0.5184), Mo at (0.5000, 0.5000, 0.7774) and Au at (0.5000, 0.5000, 0.2585).

Its uncorrected energy is -8.08 eV/atom. The calculated volume comes out at 15.28 Å³/atom. The density of states at the Fermi level is 0.812 states/eV per atom. The magnetization is 0.00 μB/f.u.

***

Below is a relaxed LiZnCu2 crystal, with properties calculated at the PBEsol level.

The structure belongs to space group R-3m (No. 166, hexagonal axes); the cell edges are 2.5870, 2.5870 and 25.4502 Å and the angles 90.00°, 90.00° and 120.00°. The distinct sites, in fractional coordinates, are Li at (0.0000, 0.0000, 0.0000), Zn at (0.0000, 0.0000, 0.5000) and Cu at (0.0000, 0.0000, 0.2498).

Its uncorrected energy is -3.08 eV/atom. The calculated volume comes out at 12.29 Å³/atom. The density of states at the Fermi level is 0.316 states/eV per atom. The magnetization is 0.00 μB/f.u.